(1)
DFT (PBE-GGA) results for a relaxed PmPtO3 crystal.

**Calculated density**: 10.17 g/cm³
**V**: 12.67 A^3/atom
**DFT total energy**: -6.968 eV/atom

extended XYZ file:
```
20
Lattice="6.102 0.000 0.000 0.000 7.513 0.000 0.000 0.000 5.530" Properties=species:S:1:pos:R:3 pbc="T T T"
Pm 0.526 1.878 0.175
Pm 2.525 5.635 2.940
Pm 3.577 1.878 2.589
Pm 5.576 5.635 5.354
Pt 0.000 0.000 2.765
Pt 0.000 3.756 2.765
Pt 3.051 0.000 0.000
Pt 3.051 3.756 0.000
O 0.328 5.635 2.005
O 1.153 4.158 4.542
O 1.153 7.111 4.542
O 1.898 0.402 1.777
O 1.898 3.354 1.777
O 2.723 1.878 4.770
O 3.379 5.635 0.760
O 4.204 4.158 3.753
O 4.204 7.111 3.753
O 4.949 0.402 0.988
O 4.949 3.354 0.988
O 5.774 1.878 3.525
```



(2)
DFT (PBE-GGA) results for a relaxed Rb2Pm2O5 crystal.

**Calculated density**: 5.66 g/cm³
**V**: 17.62 A^3/atom
**DFT total energy**: -4.886 eV/atom

extended XYZ file:
```
9
Lattice="4.476 0.000 0.000 0.000 4.476 0.000 0.000 0.000 7.914" Properties=species:S:1:pos:R:3 pbc="T T T"
Rb 0.000 0.000 1.544
Rb 0.000 0.000 6.370
Pm 2.238 2.238 0.000
Pm 2.238 2.238 3.957
O 0.000 0.000 3.957
O 0.000 2.238 1.436
O 0.000 2.238 6.478
O 2.238 0.000 1.436
O 2.238 0.000 6.478
```



(3)
DFT (PBE-GGA) results for a relaxed Rb2PmO4 crystal.

**Calculated density**: 3.98 g/cm³
**V**: 22.67 A^3/atom
**DFT total energy**: -5.025 eV/atom

extended XYZ file:
```
14
Lattice="0.000 5.414 5.414 5.414 0.000 5.414 5.414 5.414 0.000" Properties=species:S:1:pos:R:3 pbc="T T T"
Rb 0.000 0.000 0.000
Rb 2.707 2.707 0.000
Rb 2.707 0.000 2.707
Rb 0.000 2.707 2.707
Pm 4.061 4.061 4.061
Pm 6.768 6.768 6.768
O 2.794 2.794 2.794
O 5.327 5.327 2.794
O 5.327 2.794 5.327
O 8.034 5.501 5.501
O 2.794 5.327 5.327
O 5.501 8.034 5.501
O 5.501 5.501 8.034
O 8.034 8.034 8.034
```



(4)
DFT (PBE-GGA) results for a relaxed RbPmO2 crystal.

**Calculated density**: 5.98 g/cm³
**V**: 18.22 A^3/atom
**DFT total energy**: -6.493 eV/atom

extended XYZ file:
```
4
Lattice="1.800 1.039 6.492 -1.800 1.039 6.492 0.000 -2.079 6.492" Properties=species:S:1:pos:R:3 pbc="T T T"
Rb 0.000 0.000 0.000
Pm 0.000 0.000 9.738
O 0.000 0.000 4.432
O 0.000 0.000 15.044
```



(5)
DFT (PBE-GGA) results for a relaxed Rb2Pm2O5 crystal.

**Calculated density**: 4.87 g/cm³
**V**: 20.51 A^3/atom
**DFT total energy**: -6.117 eV/atom

extended XYZ file:
```
9
Lattice="4.446 0.000 0.000 0.000 4.446 0.000 0.000 0.000 9.341" Properties=species:S:1:pos:R:3 pbc="T T T"
Rb 0.000 0.000 0.000
Rb 0.000 0.000 4.671
Pm 2.223 2.223 2.187
Pm 2.223 2.223 7.155
O 0.000 2.223 2.718
O 0.000 2.223 6.624
O 2.223 0.000 2.718
O 2.223 0.000 6.624
O 2.223 2.223 0.000
```



(6)
DFT (PBE-GGA) results for a relaxed RbPmSeO crystal.

**Calculated density**: 5.65 g/cm³
**V**: 23.90 A^3/atom
**DFT total energy**: -5.485 eV/atom

extended XYZ file:
```
8
Lattice="4.294 0.000 0.000 0.000 4.294 0.000 0.000 0.000 10.368" Properties=species:S:1:pos:R:3 pbc="T T T"
Rb 1.074 3.221 0.000
Rb 3.221 1.074 0.000
Pm 1.074 1.074 4.183
Pm 3.221 3.221 6.185
Se 1.074 1.074 7.935
Se 3.221 3.221 2.433
O 1.074 3.221 5.184
O 3.221 1.074 5.184
```



(7)
DFT (PBE-GGA) results for a relaxed RbPmSeO crystal.

**Calculated density**: 3.93 g/cm³
**V**: 34.35 A^3/atom
**DFT total energy**: -5.626 eV/atom

extended XYZ file:
```
8
Lattice="4.707 0.000 0.000 0.000 8.532 0.000 0.000 0.000 6.843" Properties=species:S:1:pos:R:3 pbc="T T T"
Rb 0.000 1.697 0.000
Rb 0.000 6.835 3.421
Pm 2.354 3.228 2.915
Pm 2.354 5.305 6.336
Se 0.000 1.726 3.485
Se 0.000 6.806 0.064
O 2.354 3.530 0.750
O 2.354 5.002 4.172
```



(8)
DFT (PBE-GGA) results for a relaxed RbPmSeO crystal.

**Calculated density**: 5.13 g/cm³
**V**: 26.34 A^3/atom
**DFT total energy**: -5.722 eV/atom

extended XYZ file:
```
16
Lattice="5.961 0.000 0.000 0.000 5.963 0.000 -2.651 0.000 11.853" Properties=species:S:1:pos:R:3 pbc="T T T"
Rb -0.001 0.000 1.250
Rb 0.322 0.006 10.604
Rb 2.989 2.988 1.249
Rb 3.312 2.982 10.603
Pm -1.312 1.634 6.999
Pm 1.641 1.632 4.855
Pm 1.670 4.614 6.998
Pm 4.623 4.616 4.854
Se -0.001 2.975 2.631
Se 0.338 2.976 9.213
Se 2.973 5.958 2.640
Se 3.312 5.956 9.222
O 0.164 0.155 5.926
O 0.164 3.145 5.925
O 3.147 0.163 5.928
O 3.147 3.137 5.926
```